DFT (PBE) results for crystalline Pr2US5 at its relaxed geometry.

Output
Space-group type = Pnma, No. 62

```
32
Lattice="11.9968 0.0000 0.0000 0.0000 8.1119 0.0000 0.0000 0.0000 7.5374" Properties=species:S:1:pos:R:3 pbc="T T T"
Pr 2.1192 0.0000 0.1895
Pr 2.1192 4.0560 0.1895
Pr 3.8792 0.0000 3.9582
Pr 3.8792 4.0560 3.9582
Pr 8.1176 0.0000 3.5792
Pr 8.1176 4.0560 3.5792
Pr 9.8776 0.0000 7.3479
Pr 9.8776 4.0560 7.3479
U 0.0941 2.0280 4.2864
U 5.9043 6.0840 0.5177
U 6.0925 2.0280 7.0196
U 11.9027 6.0840 3.2510
S 0.0113 2.0280 7.1727
S 1.1350 4.3862 4.9821
S 1.1350 7.7817 4.9821
S 2.2294 2.0280 2.4961
S 2.5531 6.0840 2.3049
S 3.4453 2.0280 6.0736
S 3.7690 6.0840 6.2648
S 4.8634 0.3303 1.2134
S 4.8634 3.7257 1.2134
S 5.9871 6.0840 3.4040
S 6.0097 2.0280 4.1333
S 7.1334 4.3862 6.3240
S 7.1334 7.7817 6.3240
S 8.2278 2.0280 1.2725
S 8.5515 6.0840 1.4638
S 9.4437 2.0280 5.2325
S 9.7674 6.0840 5.0412
S 10.8618 0.3303 2.5553
S 10.8618 3.7257 2.5553
S 11.9855 6.0840 0.3646
```



DFT (PBE) results for crystalline Pr2YS3 at its relaxed geometry.

Output
Space-group type = P-3m1, No. 164

```
6
Lattice="4.0214 0.0000 0.0000 -2.0107 3.4827 0.0000 0.0000 0.0000 9.9811" Properties=species:S:1:pos:R:3 pbc="T T T"
Pr 0.0000 2.3218 1.6949
Pr 2.0107 1.1609 8.2862
Y 0.0000 0.0000 4.9906
S 0.0000 0.0000 0.0000
S 0.0000 2.3218 6.5241
S 2.0107 1.1609 3.4571
```



DFT (PBE) results for crystalline PrY2S3 at its relaxed geometry.

Output
Space-group type = P-3m1, No. 164

```
6
Lattice="3.9574 0.0000 0.0000 -1.9787 3.4272 0.0000 0.0000 0.0000 9.8320" Properties=species:S:1:pos:R:3 pbc="T T T"
Pr 0.0000 0.0000 0.0000
Y 0.0000 2.2848 6.5211
Y 1.9787 1.1424 3.3110
S 0.0000 0.0000 4.9160
S 0.0000 2.2848 1.7804
S 1.9787 1.1424 8.0516
```



DFT (PBE) results for crystalline PrZrS3 at its relaxed geometry.

Output
Space-group type = Cmcm, No. 63

```
10
Lattice="1.8960 -6.1491 0.0000 1.8960 6.1491 0.0000 0.0000 0.0000 9.4343" Properties=species:S:1:pos:R:3 pbc="T T T"
Pr 1.8960 3.1190 7.0757
Pr 1.8960 -3.1190 2.3586
Zr 0.0000 0.0000 0.0000
Zr 0.0000 0.0000 4.7171
S 1.8960 5.1855 2.3586
S 1.8960 1.7193 0.5708
S 1.8960 1.7193 4.1463
S 1.8960 -1.7193 5.2880
S 1.8960 -1.7193 8.8634
S 1.8960 -5.1855 7.0757
```



DFT (PBE) results for crystalline Pr2Sb at its relaxed geometry.

Output
Space-group type = Pnma, No. 62

```
12
Lattice="7.0590 0.0000 0.0000 0.0000 4.9846 0.0000 0.0000 0.0000 10.5591" Properties=species:S:1:pos:R:3 pbc="T T T"
Pr 0.5938 1.2462 2.1786
Pr 1.1404 1.2462 5.8535
Pr 2.3891 3.7385 0.5739
Pr 2.9357 3.7385 7.4582
Pr 4.1234 1.2462 3.1009
Pr 4.6699 1.2462 9.9851
Pr 5.9186 3.7385 4.7056
Pr 6.4652 3.7385 8.3805
Sb 1.3622 1.2462 9.2415
Sb 2.1673 3.7385 3.9620
Sb 4.8917 1.2462 6.5971
Sb 5.6969 3.7385 1.3176
```



DFT (PBE) results for crystalline Pr2Sb at its relaxed geometry.

Output
Space-group type = Fd-3m, No. 227

```
6
Lattice="0.0000 4.5487 4.5487 4.5487 0.0000 4.5487 4.5487 4.5487 0.0000" Properties=species:S:1:pos:R:3 pbc="T T T"
Pr 0.0000 0.0000 0.0000
Pr 2.2743 2.2743 0.0000
Pr 2.2743 0.0000 2.2743
Pr 0.0000 2.2743 2.2743
Sb 3.4115 3.4115 3.4115
Sb 5.6858 5.6858 5.6858
```



E_tot / eV/atom: -7.02, -6.75, -7.02, -6.94, -5.34, -4.70
Volume / Å³ per atom: 22.92, 23.30, 22.23, 22.00, 30.96, 31.37